Entry 1:
VASP calculation (PBE) on a relaxed TaOs crystal.

Results
* space-group type: P-6m2
* spin magnetization: 0.0 Bohr magnetons per cell
* E_tot: -22.94 eV/cell
* crystal system: hexagonal
* DFT formation energy: 0.070 eV/atom

Unit cell a=2.887 b=2.887 c=4.476 alpha=90.00 beta=90.00 gamma=120.00
Element x y z (fractional)
Ta: 0.000 0.000 0.000
Os: 0.667 0.333 0.500


Entry 2:
VASP calculation (PBE) on a relaxed Tl6HgSb2 crystal.

Results
* space-group type: C2/c
* spin magnetization: 0.0 Bohr magnetons per cell
* E_tot: -45.30 eV/cell
* crystal system: monoclinic
* uncorrected formation energy: 10 meV per atom

Unit cell a=9.900 b=9.900 c=6.238 alpha=99.90 beta=99.90 gamma=74.37
Element x y z (fractional)
Tl: 0.074 0.537 0.270
Tl: 0.093 0.820 0.964
Tl: 0.180 0.907 0.536
Tl: 0.290 0.470 0.763
Tl: 0.463 0.926 0.230
Tl: 0.470 0.290 0.263
Tl: 0.530 0.710 0.737
Tl: 0.537 0.074 0.770
Tl: 0.710 0.530 0.237
Tl: 0.820 0.093 0.464
Tl: 0.907 0.180 0.036
Tl: 0.926 0.463 0.730
Hg: 0.373 0.627 0.250
Hg: 0.627 0.373 0.750
Sb: 0.193 0.208 0.417
Sb: 0.208 0.193 0.917
Sb: 0.792 0.807 0.083
Sb: 0.807 0.792 0.583


Entry 3:
VASP calculation (PBE) on a relaxed KBaHg crystal.

Results
* space-group type: Cmcm
* spin magnetization: 0.0 Bohr magnetons per cell
* E_tot: -8.43 eV/cell
* crystal system: orthorhombic
* DFT formation energy: -0.298 eV/atom

Unit cell a=12.461 b=12.461 c=5.304 alpha=90.00 beta=90.00 gamma=158.92
Element x y z (fractional)
K: 0.192 0.808 0.750
K: 0.808 0.192 0.250
Ba: 0.429 0.571 0.750
Ba: 0.571 0.429 0.250
Hg: 0.042 0.958 0.750
Hg: 0.958 0.042 0.250


Entry 4:
VASP calculation (PBE) on a relaxed Fe5Ni4 crystal.

Results
* space-group type: Immm
* spin magnetization: 15.5 Bohr magnetons per cell
* E_tot: -65.58 eV/cell
* crystal system: orthorhombic
* DFT formation energy: -0.016 eV/atom

Unit cell a=5.632 b=5.632 c=5.632 alpha=142.69 beta=96.19 gamma=95.56
Element x y z (fractional)
Fe: 0.000 0.000 0.000
Fe: 0.327 0.327 0.000
Fe: 0.330 0.000 0.330
Fe: 0.670 0.000 0.670
Fe: 0.673 0.673 0.000
Ni: 0.001 0.334 0.667
Ni: 0.333 0.666 0.667
Ni: 0.667 0.334 0.333
Ni: 0.999 0.666 0.333


Entry 5:
VASP calculation (PBE) on a relaxed CeB4Ru4 crystal.

Results
* space-group type: I4_1/acd
* spin magnetization: 0.0 Bohr magnetons per cell
* E_tot: -298.07 eV/cell
* crystal system: tetragonal
* DFT formation energy: -0.530 eV/atom

Unit cell a=9.260 b=9.260 c=9.260 alpha=132.15 beta=132.15 gamma=69.99
Element x y z (fractional)
Ce: 0.125 0.375 0.750
Ce: 0.375 0.125 0.250
Ce: 0.625 0.875 0.750
Ce: 0.875 0.625 0.250
B: 0.064 0.125 0.275
B: 0.125 0.350 0.061
B: 0.150 0.375 0.439
B: 0.210 0.936 0.561
B: 0.290 0.850 0.725
B: 0.350 0.790 0.225
B: 0.375 0.436 0.225
B: 0.436 0.710 0.061
B: 0.564 0.290 0.939
B: 0.625 0.564 0.775
B: 0.650 0.210 0.775
B: 0.710 0.150 0.275
B: 0.790 0.064 0.439
B: 0.850 0.625 0.561
B: 0.875 0.650 0.939
B: 0.936 0.875 0.725
Ru: 0.038 0.822 0.987
Ru: 0.051 0.038 0.716
Ru: 0.165 0.678 0.716
Ru: 0.178 0.665 0.216
Ru: 0.322 0.538 0.487
Ru: 0.335 0.051 0.513
Ru: 0.449 0.165 0.987
Ru: 0.462 0.449 0.784
Ru: 0.538 0.551 0.216
Ru: 0.551 0.835 0.013
Ru: 0.665 0.949 0.487
Ru: 0.678 0.462 0.513
Ru: 0.822 0.335 0.784
Ru: 0.835 0.322 0.284
Ru: 0.949 0.962 0.284
Ru: 0.962 0.178 0.013


Entry 6:
VASP calculation (PBE) on a relaxed Ba5Fe crystal.

Results
* space-group type: Cmmm
* spin magnetization: 2.3 Bohr magnetons per cell
* E_tot: -15.64 eV/cell
* crystal system: orthorhombic
* DFT formation energy: 0.406 eV/atom

Unit cell a=9.886 b=9.886 c=6.638 alpha=90.00 beta=90.00 gamma=152.07
Element x y z (fractional)
Ba: 0.000 0.000 0.000
Ba: 0.128 0.872 0.500
Ba: 0.332 0.668 0.000
Ba: 0.668 0.332 0.000
Ba: 0.872 0.128 0.500
Fe: 0.500 0.500 0.500